Record 1
Material: TaC3
Method: DFT, GGA-PBE
State: optimized geometry

Structure (POSCAR):
```
TaC3
1.0
-1.563 3.384 1.833
1.563 -3.384 1.833
1.563 3.384 -1.833
Ta C
1 3
Direct
0.000 0.000 0.000
0.124 0.809 0.315
0.485 0.985 0.500
0.493 0.809 0.685
```

energy of formation from the pure elements = 840 meV/atom
spin magnetization = 0.0 Bohr magnetons per cell


Record 2
Material: TaC
Method: DFT, GGA-PBE
State: optimized geometry

Structure (POSCAR):
```
TaC
1.0
4.369 0.000 0.000
0.000 4.369 0.000
0.000 0.000 4.369
Ta C
3 3
Direct
0.000 0.000 0.500
0.000 0.500 0.000
0.500 0.000 0.000
0.000 0.500 0.500
0.500 0.000 0.500
0.500 0.500 0.000
```

energy of formation from the pure elements = 522 meV/atom
spin magnetization = 0.0 Bohr magnetons per cell


Record 3
Material: TaC2
Method: DFT, GGA-PBE
State: optimized geometry

Structure (POSCAR):
```
TaC2
1.0
5.125 0.000 0.000
0.000 5.125 0.000
0.000 0.000 5.125
Ta C
4 8
Direct
0.000 0.000 0.000
0.000 0.500 0.500
0.500 0.000 0.500
0.500 0.500 0.000
0.080 0.580 0.920
0.080 0.920 0.420
0.420 0.080 0.920
0.420 0.420 0.420
0.580 0.580 0.580
0.580 0.920 0.080
0.920 0.080 0.580
0.920 0.420 0.080
```

energy of formation from the pure elements = 767 meV/atom
spin magnetization = 0.0 Bohr magnetons per cell


Record 4
Material: Ta3C5
Method: DFT, GGA-PBE
State: optimized geometry

Structure (POSCAR):
```
Ta3C5
1.0
2.669 -3.624 0.000
2.669 3.624 0.000
0.000 0.000 4.150
Ta C
3 5
Direct
0.000 0.000 0.000
0.304 0.696 0.500
0.696 0.304 0.500
0.000 0.500 0.000
0.142 0.142 0.500
0.500 0.000 0.000
0.500 0.500 0.000
0.858 0.858 0.500
```

energy of formation from the pure elements = 933 meV/atom
spin magnetization = 0.0 Bohr magnetons per cell


Record 5
Material: TaC3
Method: DFT, GGA-PBE
State: optimized geometry

Structure (POSCAR):
```
TaC3
1.0
-1.539 1.539 3.854
1.539 -1.539 3.854
1.539 1.539 -3.854
Ta C
1 3
Direct
0.000 0.000 0.000
0.250 0.750 0.500
0.500 0.500 0.000
0.750 0.250 0.500
```

energy of formation from the pure elements = 1846 meV/atom
spin magnetization = 0.0 Bohr magnetons per cell


Record 6
Material: TaC3
Method: DFT, GGA-PBE
State: optimized geometry

Structure (POSCAR):
```
TaC3
1.0
3.461 0.000 0.000
0.000 3.461 0.000
0.000 0.000 3.009
Ta C
1 3
Direct
0.000 0.000 0.000
0.000 0.500 0.500
0.500 0.000 0.500
0.500 0.500 0.000
```

energy of formation from the pure elements = 1990 meV/atom
spin magnetization = 0.0 Bohr magnetons per cell


Record 7
Material: TaC3
Method: DFT, GGA-PBE
State: optimized geometry

Structure (POSCAR):
```
TaC3
1.0
1.380 0.797 5.316
-1.380 0.797 5.316
0.000 -1.594 5.316
Ta C
1 3
Direct
0.000 0.000 0.000
0.230 0.230 0.230
0.500 0.500 0.500
0.770 0.770 0.770
```

energy of formation from the pure elements = 1908 meV/atom
spin magnetization = 0.0 Bohr magnetons per cell


Record 8
Material: TaC
Method: DFT, GGA-PBE
State: optimized geometry

Structure (POSCAR):
```
TaC
1.0
1.641 0.947 7.634
-1.641 0.947 7.634
0.000 -1.894 7.634
Ta C
2 2
Direct
0.107 0.107 0.107
0.893 0.893 0.893
0.409 0.409 0.409
0.591 0.591 0.591
```

energy of formation from the pure elements = 631 meV/atom
spin magnetization = 0.0 Bohr magnetons per cell


Record 9
Material: TaC2
Method: DFT, GGA-PBE
State: optimized geometry

Structure (POSCAR):
```
TaC2
1.0
3.308 0.000 0.000
-1.654 2.865 0.000
0.000 0.000 3.775
Ta C
1 2
Direct
0.000 0.000 0.000
0.333 0.667 0.272
0.667 0.333 0.728
```

energy of formation from the pure elements = 1636 meV/atom
spin magnetization = 0.0 Bohr magnetons per cell


Record 10
Material: TaC
Method: DFT, GGA-PBE
State: optimized geometry

Structure (POSCAR):
```
TaC
1.0
5.162 -1.488 0.000
5.162 1.488 0.000
-2.531 0.000 4.715
Ta C
3 3
Direct
0.000 0.000 0.000
0.152 0.152 0.646
0.325 0.325 0.293
0.510 0.510 0.709
0.660 0.660 0.320
0.792 0.792 0.969
```

energy of formation from the pure elements = -123 meV/atom
spin magnetization = 0.0 Bohr magnetons per cell


Record 11
Material: TaC2
Method: DFT, GGA-PBE
State: optimized geometry

Structure (POSCAR):
```
TaC2
1.0
1.560 0.901 4.016
-1.560 0.901 4.016
0.000 -1.801 4.016
Ta C
1 2
Direct
0.000 0.000 0.000
0.443 0.443 0.443
0.557 0.557 0.557
```

energy of formation from the pure elements = 421 meV/atom
spin magnetization = 0.0 Bohr magnetons per cell


Record 12
Material: Ta4C3
Method: DFT, GGA-PBE
State: optimized geometry

Structure (POSCAR):
```
Ta4C3
1.0
4.698 0.000 0.000
-2.349 4.069 0.000
0.000 0.000 4.836
Ta C
4 3
Direct
0.000 0.000 0.248
0.000 0.000 0.752
0.333 0.667 0.500
0.667 0.333 0.500
0.000 0.500 0.000
0.500 0.000 0.000
0.500 0.500 0.000
```

energy of formation from the pure elements = 1527 meV/atom
spin magnetization = 0.0 Bohr magnetons per cell